--- one ---
{
  "formula": "ThPa2Ta",
  "functional": "PBE-GGA",
  "state": "relaxed",
  "lattice": [[0.0000, 3.6689, 3.6689], [3.6689, 0.0000, 3.6689], [3.6689, 3.6689, 0.0000]],
  "species": ["Th", "Pa", "Pa", "Ta"],
  "frac_coords": [[0.0000, 0.0000, 0.0000], [0.2500, 0.2500, 0.2500], [0.7500, 0.7500, 0.7500], [0.5000, 0.5000, 0.5000]],
  "space_group": "Fm-3m (225)",
  "total_magnetization_mub_per_atom": 0.00
}

=====

--- two ---
{
  "formula": "ThPa2Ta",
  "functional": "PBE-GGA",
  "state": "relaxed",
  "lattice": [[3.4896, 0.0000, 0.0000], [0.0000, 3.4896, 0.0000], [0.0000, 0.0000, 8.2704]],
  "species": ["Th", "Pa", "Pa", "Ta"],
  "frac_coords": [[0.0000, 0.0000, 0.0000], [0.5000, 0.5000, 0.2799], [0.5000, 0.5000, 0.7201], [0.0000, 0.0000, 0.5000]],
  "space_group": "P4/mmm (123)",
  "total_magnetization_mub_per_atom": 0.00
}

=====

Which structure loses on stability? one does.

=====

--- one ---
{
  "formula": "U2PaTa",
  "functional": "PBE-GGA",
  "state": "relaxed",
  "lattice": [[3.4430, 0.0000, 0.0000], [0.0000, 3.4430, 0.0000], [0.0000, 0.0000, 7.3363]],
  "species": ["U", "U", "Pa", "Ta"],
  "frac_coords": [[0.0000, 0.0000, 0.2422], [0.0000, 0.0000, 0.7578], [0.5000, 0.5000, 0.5000], [0.5000, 0.5000, 0.0000]],
  "space_group": "P4/mmm (123)",
  "total_magnetization_mub_per_atom": 0.86
}

=====

--- two ---
{
  "formula": "U2PaTa",
  "functional": "PBE-GGA",
  "state": "relaxed",
  "lattice": [[5.3177, 0.0000, 0.0000], [0.0000, 5.3177, 0.0000], [0.0000, 0.0000, 3.0041]],
  "species": ["U", "U", "Pa", "Ta"],
  "frac_coords": [[0.0000, 0.5000, 0.0000], [0.5000, 0.0000, 0.0000], [0.0000, 0.0000, 0.5000], [0.5000, 0.5000, 0.5000]],
  "space_group": "P4/mmm (123)",
  "total_magnetization_mub_per_atom": 0.00
}

=====

Which structure loses on stability? one does.

=====

--- one ---
{
  "formula": "UPa2Ta",
  "functional": "PBE-GGA",
  "state": "relaxed",
  "lattice": [[3.6247, 0.0000, 0.0000], [0.0000, 3.6247, 0.0000], [0.0000, 0.0000, 6.7231]],
  "species": ["U", "Pa", "Pa", "Ta"],
  "frac_coords": [[0.0000, 0.0000, 0.0000], [0.5000, 0.5000, 0.2491], [0.5000, 0.5000, 0.7509], [0.0000, 0.0000, 0.5000]],
  "space_group": "P4/mmm (123)",
  "total_magnetization_mub_per_atom": 0.00
}

=====

--- two ---
{
  "formula": "UPa2Ta",
  "functional": "PBE-GGA",
  "state": "relaxed",
  "lattice": [[1.5075, 0.8704, 11.2016], [-1.5075, 0.8704, 11.2016], [0.0000, -1.7407, 11.2016]],
  "species": ["U", "Pa", "Pa", "Ta"],
  "frac_coords": [[0.0000, 0.0000, 0.0000], [0.0862, 0.0862, 0.0862], [0.9138, 0.9138, 0.9138], [0.5000, 0.5000, 0.5000]],
  "space_group": "R-3m (166)",
  "total_magnetization_mub_per_atom": 0.00
}

=====

Which structure loses on stability? two does.

=====

--- one ---
{
  "formula": "UPaTa",
  "functional": "PBE-GGA",
  "state": "relaxed",
  "lattice": [[4.9779, 0.0000, 0.0000], [-2.4890, 4.3110, 0.0000], [0.0000, 0.0000, 2.8897]],
  "species": ["U", "Pa", "Ta"],
  "frac_coords": [[0.0000, 0.0000, 0.0000], [0.3333, 0.6667, 0.0000], [0.6667, 0.3333, 0.5000]],
  "space_group": "P-6m2 (187)",
  "total_magnetization_mub_per_atom": 0.00
}

=====

--- two ---
{
  "formula": "UPaTa",
  "functional": "PBE-GGA",
  "state": "relaxed",
  "lattice": [[5.9675, 0.0000, 0.0000], [0.0000, 4.6388, 0.0000], [0.0000, 0.0000, 5.2514]],
  "species": ["U", "U", "Pa", "Pa", "Ta", "Ta"],
  "frac_coords": [[0.0000, 0.0000, 0.0000], [0.5000, 0.0000, 0.0000], [0.2500, 0.0000, 0.4671], [0.7500, 0.0000, 0.5329], [0.2500, 0.5000, 0.8758], [0.7500, 0.5000, 0.1242]],
  "space_group": "Pmma (51)",
  "total_magnetization_mub_per_atom": 0.37
}

=====

--- three ---
{
  "formula": "UPaTa",
  "functional": "PBE-GGA",
  "state": "relaxed",
  "lattice": [[-1.7759, 1.7759, 5.0445], [1.7759, -1.7759, 5.0445], [1.7759, 1.7759, -5.0445]],
  "species": ["U", "Pa", "Ta"],
  "frac_coords": [[0.0000, 0.0000, 0.0000], [0.3507, 0.3507, 0.0000], [0.6651, 0.6651, 0.0000]],
  "space_group": "I4mm (107)",
  "total_magnetization_mub_per_atom": 0.00
}

=====

Which structure loses on stability? two does.

=====

--- one ---
{
  "formula": "PaTaW",
  "functional": "PBE-GGA",
  "state": "relaxed",
  "lattice": [[2.4072, -5.1143, 0.0000], [2.4072, 5.1143, 0.0000], [0.0000, 0.0000, 4.7481]],
  "species": ["Pa", "Pa", "Ta", "Ta", "W", "W"],
  "frac_coords": [[0.0825, 0.9175, 0.7500], [0.9175, 0.0825, 0.2500], [0.4078, 0.5922, 0.7500], [0.5922, 0.4078, 0.2500], [0.2547, 0.7453, 0.2500], [0.7453, 0.2547, 0.7500]],
  "space_group": "Cmcm (63)",
  "total_magnetization_mub_per_atom": 0.00
}

=====

--- two ---
{
  "formula": "PaTaW",
  "functional": "PBE-GGA",
  "state": "relaxed",
  "lattice": [[-1.6818, 1.6818, 5.3582], [1.6818, -1.6818, 5.3582], [1.6818, 1.6818, -5.3582]],
  "species": ["Pa", "Ta", "W"],
  "frac_coords": [[0.0000, 0.0000, 0.0000], [0.3093, 0.3093, 0.0000], [0.6697, 0.6697, 0.0000]],
  "space_group": "I4mm (107)",
  "total_magnetization_mub_per_atom": 0.00
}

=====

Which structure loses on stability? two does.

=====

--- one ---
{
  "formula": "PaTaZn",
  "functional": "PBE-GGA",
  "state": "relaxed",
  "lattice": [[-1.4813, 1.4813, 6.6912], [1.4813, -1.4813, 6.6912], [1.4813, 1.4813, -6.6912]],
  "species": ["Pa", "Ta", "Zn"],
  "frac_coords": [[0.0000, 0.0000, 0.0000], [0.6819, 0.6819, 0.0000], [0.3252, 0.3252, 0.0000]],
  "space_group": "I4mm (107)",
  "total_magnetization_mub_per_atom": 0.00
}

=====

--- two ---
{
  "formula": "PaTaZn",
  "functional": "PBE-GGA",
  "state": "relaxed",
  "lattice": [[3.4913, 0.0000, 0.0000], [0.0000, 3.4913, 0.0000], [0.0000, 0.0000, 9.5560]],
  "species": ["Pa", "Pa", "Ta", "Ta", "Zn", "Zn"],
  "frac_coords": [[0.2500, 0.2500, 0.0939], [0.7500, 0.7500, 0.9061], [0.2500, 0.2500, 0.7277], [0.7500, 0.7500, 0.2723], [0.2500, 0.2500, 0.4219], [0.7500, 0.7500, 0.5781]],
  "space_group": "P4/nmm (129)",
  "total_magnetization_mub_per_atom": 0.00
}

=====

Which structure loses on stability? two does.

=====

--- one ---
{
  "formula": "TbPa",
  "functional": "PBE-GGA",
  "state": "relaxed",
  "lattice": [[3.3547, 0.0000, 0.0000], [0.0000, 4.7201, 0.0000], [0.0000, 0.0000, 7.0466]],
  "species": ["Tb", "Tb", "Pa", "Pa"],
  "frac_coords": [[0.2500, 0.2500, 0.1307], [0.7500, 0.7500, 0.8693], [0.2500, 0.2500, 0.6104], [0.7500, 0.7500, 0.3896]],
  "space_group": "Pmmn (59)",
  "total_magnetization_mub_per_atom": 0.00
}

=====

--- two ---
{
  "formula": "TbPa",
  "functional": "PBE-GGA",
  "state": "relaxed",
  "lattice": [[3.3132, 0.0000, 0.0000], [-1.6566, 2.8694, 0.0000], [0.0000, 0.0000, 5.7964]],
  "species": ["Tb", "Pa"],
  "frac_coords": [[0.0000, 0.0000, 0.0000], [0.3333, 0.6667, 0.5000]],
  "space_group": "P-6m2 (187)",
  "total_magnetization_mub_per_atom": 0.00
}

=====

Which structure loses on stability? two does.

=====

--- one ---
{
  "formula": "TbPa2",
  "functional": "PBE-GGA",
  "state": "relaxed",
  "lattice": [[0.0000, 4.3527, 4.3527], [4.3527, 0.0000, 4.3527], [4.3527, 4.3527, 0.0000]],
  "species": ["Tb", "Tb", "Pa", "Pa", "Pa", "Pa"],
  "frac_coords": [[0.1250, 0.1250, 0.1250], [0.8750, 0.8750, 0.8750], [0.0000, 0.5000, 0.5000], [0.5000, 0.0000, 0.5000], [0.5000, 0.5000, 0.0000], [0.5000, 0.5000, 0.5000]],
  "space_group": "Fd-3m (227)",
  "total_magnetization_mub_per_atom": 0.00
}

=====

--- two ---
{
  "formula": "TbPa2",
  "functional": "PBE-GGA",
  "state": "relaxed",
  "lattice": [[-1.8016, 1.8016, 6.2748], [1.8016, -1.8016, 6.2748], [1.8016, 1.8016, -6.2748]],
  "species": ["Tb", "Pa", "Pa"],
  "frac_coords": [[0.0000, 0.0000, 0.0000], [0.3129, 0.3129, 0.0000], [0.6871, 0.6871, 0.0000]],
  "space_group": "I4/mmm (139)",
  "total_magnetization_mub_per_atom": 0.00
}

=====

Which structure loses on stability? two does.

=====

--- one ---
{
  "formula": "TbPa2Tc",
  "functional": "PBE-GGA",
  "state": "relaxed",
  "lattice": [[3.3139, 0.0000, 0.0000], [0.0000, 3.3139, 0.0000], [0.0000, 0.0000, 8.8716]],
  "species": ["Tb", "Pa", "Pa", "Tc"],
  "frac_coords": [[0.0000, 0.0000, 0.0000], [0.5000, 0.5000, 0.2986], [0.5000, 0.5000, 0.7014], [0.0000, 0.0000, 0.5000]],
  "space_group": "P4/mmm (123)",
  "total_magnetization_mub_per_atom": 0.00
}

=====

--- two ---
{
  "formula": "TbPa2Tc",
  "functional": "PBE-GGA",
  "state": "relaxed",
  "lattice": [[2.3814, 1.3749, 4.8063], [-2.3814, 1.3749, 4.8063], [0.0000, -2.7498, 4.8063]],
  "species": ["Tb", "Pa", "Pa", "Tc"],
  "frac_coords": [[0.0000, 0.0000, 0.0000], [0.2396, 0.2396, 0.2396], [0.7604, 0.7604, 0.7604], [0.5000, 0.5000, 0.5000]],
  "space_group": "R-3m (166)",
  "total_magnetization_mub_per_atom": 0.00
}

=====

Which structure loses on stability? two does.

=====

--- one ---
{
  "formula": "TbPa2Tc3",
  "functional": "PBE-GGA",
  "state": "relaxed",
  "lattice": [[2.6103, -6.7887, 0.0000], [2.6103, 6.7887, 0.0000], [0.0000, 0.0000, 3.4945]],
  "species": ["Tb", "Pa", "Pa", "Tc", "Tc", "Tc"],
  "frac_coords": [[0.0000, 0.0000, 0.0000], [0.3368, 0.6632, 0.0000], [0.6632, 0.3368, 0.0000], [0.1854, 0.8146, 0.5000], [0.5000, 0.5000, 0.5000], [0.8146, 0.1854, 0.5000]],
  "space_group": "Cmmm (65)",
  "total_magnetization_mub_per_atom": 0.00
}

=====

--- two ---
{
  "formula": "TbPa2Tc3",
  "functional": "PBE-GGA",
  "state": "relaxed",
  "lattice": [[3.4595, 0.0000, 0.0000], [0.0000, 3.4595, 0.0000], [0.0000, 0.0000, 10.3419]],
  "species": ["Tb", "Pa", "Pa", "Tc", "Tc", "Tc"],
  "frac_coords": [[0.0000, 0.0000, 0.0000], [0.0000, 0.0000, 0.3306], [0.0000, 0.0000, 0.6694], [0.5000, 0.5000, 0.1957], [0.5000, 0.5000, 0.5000], [0.5000, 0.5000, 0.8043]],
  "space_group": "P4/mmm (123)",
  "total_magnetization_mub_per_atom": 0.00
}

=====

Which structure loses on stability? one does.

=====

--- one ---
{
  "formula": "TbThPa",
  "functional": "PBE-GGA",
  "state": "relaxed",
  "lattice": [[-1.6923, 1.6923, 7.7172], [1.6923, -1.6923, 7.7172], [1.6923, 1.6923, -7.7172]],
  "species": ["Tb", "Th", "Pa"],
  "frac_coords": [[0.0000, 0.0000, 0.0000], [0.6803, 0.6803, 0.0000], [0.3383, 0.3383, 0.0000]],
  "space_group": "I4mm (107)",
  "total_magnetization_mub_per_atom": 0.00
}

=====

--- two ---
{
  "formula": "TbThPa",
  "functional": "PBE-GGA",
  "state": "relaxed",
  "lattice": [[5.5160, 0.0000, 0.0000], [-2.7580, 4.7770, 0.0000], [0.0000, 0.0000, 3.3522]],
  "species": ["Tb", "Th", "Pa"],
  "frac_coords": [[0.0000, 0.0000, 0.0000], [0.6667, 0.3333, 0.5000], [0.3333, 0.6667, 0.0000]],
  "space_group": "P-6m2 (187)",
  "total_magnetization_mub_per_atom": 0.00
}

=====

Which structure loses on stability? two does.

=====

--- one ---
{
  "formula": "TbThPa2",
  "functional": "PBE-GGA",
  "state": "relaxed",
  "lattice": [[0.0000, 3.8364, 3.8364], [3.8364, 0.0000, 3.8364], [3.8364, 3.8364, 0.0000]],
  "species": ["Tb", "Th", "Pa", "Pa"],
  "frac_coords": [[0.0000, 0.0000, 0.0000], [0.5000, 0.5000, 0.5000], [0.2500, 0.2500, 0.2500], [0.7500, 0.7500, 0.7500]],
  "space_group": "Fm-3m (225)",
  "total_magnetization_mub_per_atom": 0.00
}

=====

--- two ---
{
  "formula": "TbThPa2",
  "functional": "PBE-GGA",
  "state": "relaxed",
  "lattice": [[4.7152, 0.0000, 0.0000], [0.0000, 4.7152, 0.0000], [0.0000, 0.0000, 5.0097]],
  "species": ["Tb", "Th", "Pa", "Pa"],
  "frac_coords": [[0.0000, 0.0000, 0.0000], [0.5000, 0.5000, 0.0000], [0.0000, 0.5000, 0.5000], [0.5000, 0.0000, 0.5000]],
  "space_group": "P4/mmm (123)",
  "total_magnetization_mub_per_atom": 0.00
}

=====

Which structure loses on stability? one does.